{"formula": "MnV2O6", "functional": "PBE with a Hubbard U", "state": "optimized geometry", "lattice": [[5.075, -1.800, 0.000], [5.075, 1.800, 0.000], [-1.218, 0.000, 6.992]], "species": ["Mn", "V", "V", "O", "O", "O", "O", "O", "O"], "frac_coords": [[0.000, 0.000, 0.000], [0.251, 0.251, 0.685], [0.749, 0.749, 0.315], [0.109, 0.109, 0.773], [0.232, 0.232, 0.393], [0.383, 0.383, 0.871], [0.617, 0.617, 0.129], [0.768, 0.768, 0.607], [0.891, 0.891, 0.227]], "spacegroup": "No. 12", "dft_energy_ev_per_cell": -68.9, "magmom_total_mub_per_atom": 0.56, "volume_a3_per_atom": 14.196, "crystal_system": "monoclinic"}